Pu2ZnIr, relaxed, DFT PBE; calculated total energy = -9.707 eV per atom; E_form = -0.0075 eV per atom; space group = C2/m, No. 12
1.0
4.0509 -4.0639 0.0000
4.0509 4.0639 0.0000
-4.0482 0.0000 4.3863
Pu Zn Ir
4 2 2
Direct
0.1840 0.8160 0.0000
0.2049 0.2049 0.4107
0.7951 0.7951 0.5893
0.8160 0.1840 0.0000
0.3130 0.3130 0.0009
0.6870 0.6870 0.9991
0.2502 0.7498 0.5000
0.7498 0.2502 0.5000

---

Pu3ZnIr2, relaxed, DFT PBE; calculated total energy = -10.602 eV per atom; E_form = -0.2698 eV per atom; space group = Cmmm, No. 65
1.0
2.3723 -7.1440 0.0000
2.3723 7.1440 0.0000
0.0000 0.0000 3.6827
Pu Zn Ir
3 1 2
Direct
0.0000 0.0000 0.0000
0.3191 0.6809 0.0000
0.6809 0.3191 0.0000
0.5000 0.5000 0.5000
0.1497 0.8503 0.5000
0.8503 0.1497 0.5000

---

PuZnIr, relaxed, DFT PBE; calculated total energy = -8.579 eV per atom; E_form = -0.4230 eV per atom; space group = P4/nmm, No. 129
1.0
3.9504 0.0000 0.0000
0.0000 3.9504 0.0000
0.0000 0.0000 7.3636
Pu Zn Ir
2 2 2
Direct
0.2500 0.2500 0.1571
0.7500 0.7500 0.8429
0.2500 0.7500 0.5000
0.7500 0.2500 0.5000
0.2500 0.2500 0.7552
0.7500 0.7500 0.2448

---

PuZn3Ir, relaxed, DFT PBE; calculated total energy = -5.682 eV per atom; E_form = -0.2786 eV per atom; space group = P2_1/m, No. 11; excess energy over the best structure of this formula in the dataset = 0.000 eV per formula unit
1.0
5.2528 0.0000 0.0000
0.0000 5.4563 0.0000
-0.0923 0.0000 6.1917
Pu Zn Ir
2 6 2
Direct
0.1540 0.2500 0.1327
0.8460 0.7500 0.8673
0.0893 0.7500 0.3913
0.3544 0.0104 0.6752
0.3544 0.4896 0.6752
0.6456 0.5104 0.3248
0.6456 0.9896 0.3248
0.9107 0.2500 0.6087
0.3422 0.7500 0.0325
0.6578 0.2500 0.9675

---

PuZnIr4, relaxed, DFT PBE; calculated total energy = -8.755 eV per atom; E_form = -0.2463 eV per atom; space group = F-43m, No. 216
1.0
0.0000 3.7223 3.7223
3.7223 0.0000 3.7223
3.7223 3.7223 0.0000
Pu Zn Ir
1 1 4
Direct
0.0000 0.0000 0.0000
0.7500 0.7500 0.7500
0.3756 0.3756 0.3756
0.3756 0.3756 0.8732
0.3756 0.8732 0.3756
0.8732 0.3756 0.3756

---

Pu2Zn16Ir, relaxed, DFT PBE; calculated total energy = -3.207 eV per atom; E_form = -0.1597 eV per atom; space group = R3m, No. 160
1.0
4.5009 2.5986 4.3849
-4.5009 2.5986 4.3849
0.0000 -5.1972 4.3849
Pu Zn Ir
2 16 1
Direct
0.0000 0.0000 0.0000
0.3305 0.3305 0.3305
0.0228 0.0228 0.5199
0.0228 0.5199 0.0228
0.1682 0.6741 0.6741
0.3145 0.3145 0.8300
0.3145 0.8300 0.3145
0.3849 0.6731 0.9612
0.3849 0.9612 0.6731
0.5199 0.0228 0.0228
0.5702 0.5702 0.5702
0.6731 0.3849 0.9612
0.6731 0.9612 0.3849
0.6741 0.1682 0.6741
0.6741 0.6741 0.1682
0.8300 0.3145 0.3145
0.9612 0.3849 0.6731
0.9612 0.6731 0.3849
0.7744 0.7744 0.7744

---

Pu2ZnIr, relaxed, DFT PBE; calculated total energy = -9.947 eV per atom; E_form = -0.2471 eV per atom; space group = P4/mmm, No. 123
1.0
3.6805 0.0000 0.0000
0.0000 3.6805 0.0000
0.0000 0.0000 6.1874
Pu Zn Ir
2 1 1
Direct
0.0000 0.0000 0.2362
0.0000 0.0000 0.7638
0.5000 0.5000 0.5000
0.5000 0.5000 0.0000

---

Pu2Zn15Ir2, relaxed, DFT PBE; calculated total energy = -3.611 eV per atom; E_form = -0.1637 eV per atom; space group = R-3m, No. 166
1.0
4.5177 2.6083 4.3271
-4.5177 2.6083 4.3271
0.0000 -5.2166 4.3271
Pu Zn Ir
2 15 2
Direct
0.1659 0.1659 0.1659
0.8341 0.8341 0.8341
0.0000 0.5000 0.5000
0.1465 0.1465 0.6508
0.1465 0.6508 0.1465
0.2180 0.5000 0.7820
0.2180 0.7820 0.5000
0.3492 0.8535 0.8535
0.5000 0.0000 0.5000
0.5000 0.2180 0.7820
0.5000 0.5000 0.0000
0.5000 0.7820 0.2180
0.6508 0.1465 0.1465
0.7820 0.2180 0.5000
0.7820 0.5000 0.2180
0.8535 0.3492 0.8535
0.8535 0.8535 0.3492
0.3850 0.3850 0.3850
0.6150 0.6150 0.6150

---

PuZn4Ir, relaxed, DFT PBE; calculated total energy = -4.929 eV per atom; E_form = -0.2142 eV per atom; space group = Pmma, No. 51; excess energy over the best structure of this formula in the dataset = 0.000 eV per formula unit
1.0
7.7741 0.0000 0.0000
0.0000 4.0419 0.0000
0.0000 0.0000 6.9098
Pu Zn Ir
2 8 2
Direct
0.2500 0.0000 0.1155
0.7500 0.0000 0.8845
0.0000 0.0000 0.5000
0.0520 0.5000 0.8107
0.2500 0.5000 0.4612
0.4480 0.5000 0.8107
0.5000 0.0000 0.5000
0.5520 0.5000 0.1893
0.7500 0.5000 0.5388
0.9480 0.5000 0.1893
0.2500 0.0000 0.7216
0.7500 0.0000 0.2784

---

PuZn4Ir2, relaxed, DFT PBE; calculated total energy = -5.597 eV per atom; E_form = -0.2903 eV per atom; space group = P4_2/mnm, No. 136
1.0
7.6784 0.0000 0.0000
0.0000 7.6784 0.0000
0.0000 0.0000 4.0505
Pu Zn Ir
2 8 4
Direct
0.0000 0.0000 0.0000
0.5000 0.5000 0.5000
0.0969 0.3490 0.5000
0.1510 0.5969 0.0000
0.3490 0.0969 0.5000
0.4031 0.8490 0.0000
0.5969 0.1510 0.0000
0.6510 0.9031 0.5000
0.8490 0.4031 0.0000
0.9031 0.6510 0.5000
0.2006 0.7994 0.5000
0.2994 0.2994 0.0000
0.7006 0.7006 0.0000
0.7994 0.2006 0.5000

---

PuZnIr, relaxed, DFT PBE; calculated total energy = -8.475 eV per atom; E_form = -0.3190 eV per atom; space group = P-6m2, No. 187
1.0
4.5484 0.0000 0.0000
-2.2742 3.9390 0.0000
0.0000 0.0000 3.1213
Pu Zn Ir
1 1 1
Direct
0.0000 0.0000 0.0000
0.6667 0.3333 0.5000
0.3333 0.6667 0.5000

---

PuZn3Ir, relaxed, DFT PBE; calculated total energy = -5.678 eV per atom; E_form = -0.2752 eV per atom; space group = I4mm, No. 107; excess energy over the best structure of this formula in the dataset = 0.017 eV per formula unit
1.0
-1.9430 1.9430 6.0903
1.9430 -1.9430 6.0903
1.9430 1.9430 -6.0903
Pu Zn Ir
1 3 1
Direct
0.0000 0.0000 0.0000
0.2786 0.7786 0.5000
0.6371 0.6371 0.0000
0.7786 0.2786 0.5000
0.4309 0.4309 0.0000

---

Pu2Zn3Ir, relaxed, DFT PBE; calculated total energy = -7.165 eV per atom; E_form = -0.2743 eV per atom; space group = C2/m, No. 12
1.0
4.5774 -2.6573 0.0000
4.5774 2.6573 0.0000
-3.0416 0.0000 4.5413
Pu Zn Ir
2 3 1
Direct
0.1301 0.1301 0.3903
0.8699 0.8699 0.6097
0.0000 0.5000 0.0000
0.5000 0.0000 0.0000
0.5000 0.5000 0.0000
0.5000 0.5000 0.5000

---

PuZnIr, relaxed, DFT PBE; calculated total energy = -8.400 eV per atom; E_form = -0.2444 eV per atom; space group = I4mm, No. 107
1.0
-1.5567 1.5567 5.6961
1.5567 -1.5567 5.6961
1.5567 1.5567 -5.6961
Pu Zn Ir
1 1 1
Direct
0.0000 0.0000 0.0000
0.2974 0.2974 0.0000
0.6685 0.6685 0.0000

---

PuZn11Ir, relaxed, DFT PBE; calculated total energy = -3.012 eV per atom; E_form = -0.1495 eV per atom; space group = C2/m, No. 12
1.0
2.5506 -6.4275 0.0000
2.5506 6.4275 0.0000
-2.4749 0.0000 6.3331
Pu Zn Ir
1 11 1
Direct
0.0000 0.0000 0.0000
0.0000 0.5000 0.0000
0.0131 0.6643 0.6434
0.2818 0.4990 0.7842
0.3357 0.9869 0.3566
0.4990 0.2818 0.7842
0.5000 0.0000 0.0000
0.5000 0.5000 0.5000
0.5010 0.7182 0.2158
0.6643 0.0131 0.6434
0.7182 0.5010 0.2158
0.9869 0.3357 0.3566
0.0000 0.0000 0.5000

---

Pu2ZnIr, relaxed, DFT PBE; calculated total energy = -9.491 eV per atom; E_form = 0.2085 eV per atom; space group = R-3m, No. 166
1.0
1.4350 0.8285 11.1652
-1.4350 0.8285 11.1652
0.0000 -1.6570 11.1652
Pu Zn Ir
2 1 1
Direct
0.0919 0.0919 0.0919
0.9081 0.9081 0.9081
0.0000 0.0000 0.0000
0.5000 0.5000 0.5000

---

PuZn4Ir, relaxed, DFT PBE; calculated total energy = -4.894 eV per atom; E_form = -0.1791 eV per atom; space group = F-43m, No. 216; excess energy over the best structure of this formula in the dataset = 0.210 eV per formula unit
1.0
0.0000 3.6484 3.6484
3.6484 0.0000 3.6484
3.6484 3.6484 0.0000
Pu Zn Ir
1 4 1
Direct
0.0000 0.0000 0.0000
0.3762 0.3762 0.3762
0.3762 0.3762 0.8713
0.3762 0.8713 0.3762
0.8713 0.3762 0.3762
0.7500 0.7500 0.7500

---

Pu4ZnIr4, relaxed, DFT PBE; calculated total energy = -10.498 eV per atom; E_form = -0.0486 eV per atom; space group = I4/m, No. 87
1.0
-4.0276 4.0276 2.3554
4.0276 -4.0276 2.3554
4.0276 4.0276 -2.3554
Pu Zn Ir
4 1 4
Direct
0.1390 0.1591 0.2981
0.1591 0.8610 0.0201
0.8409 0.1390 0.9799
0.8610 0.8409 0.7019
0.5000 0.5000 0.0000
0.1627 0.4842 0.6469
0.4842 0.8373 0.3215
0.5158 0.1627 0.6785
0.8373 0.5158 0.3531

---

PuZrZnIr, relaxed, DFT PBE; calculated total energy = -8.558 eV per atom; E_form = -0.3045 eV per atom; space group = F-43m, No. 216
1.0
0.0000 3.4090 3.4090
3.4090 0.0000 3.4090
3.4090 3.4090 0.0000
Pu Zr Zn Ir
1 1 1 1
Direct
0.0000 0.0000 0.0000
0.5000 0.5000 0.5000
0.2500 0.2500 0.2500
0.7500 0.7500 0.7500

---

Pu2ZrIr, relaxed, DFT PBE; calculated total energy = -11.262 eV per atom; E_form = 0.2561 eV per atom; space group = R-3m, No. 166
1.0
1.4703 0.8489 11.2516
-1.4703 0.8489 11.2516
0.0000 -1.6978 11.2516
Pu Zr Ir
2 1 1
Direct
0.0932 0.0932 0.0932
0.9068 0.9068 0.9068
0.0000 0.0000 0.0000
0.5000 0.5000 0.5000